! PBE-GGA LiLa2As, relaxed; values from VASP
&SYSTEM
  ibrav = 0, nat = 4, ntyp = 3
/
ATOMIC_SPECIES
La 138.91 La.upf
Li 6.94 Li.upf
As 74.92 As.upf
ATOMIC_POSITIONS crystal
La 0.2659 0.2659 0.2024
La 0.0673 0.0673 0.7982
Li 0.5005 0.5005 0.4986
As 0.6664 0.6664 0.0009
CELL_PARAMETERS angstrom
-0.2777 -2.0520 3.6272
-1.0706 -4.0369 0.0389
7.9145 -4.2536 0.6043
! ΔE_f = -0.620 eV/atom
! Fermi-level density of states = 2.1 states/eV/f.u.
! uncorrected energy = -18.9 eV for the cell shown
! space group = R3m


! PBE-GGA BaMn2NiSn, relaxed; values from VASP
&SYSTEM
  ibrav = 0, nat = 5, ntyp = 4
/
ATOMIC_SPECIES
Sn 118.71 Sn.upf
Ba 137.33 Ba.upf
Mn 54.94 Mn.upf
Ni 58.69 Ni.upf
ATOMIC_POSITIONS crystal
Sn 0.5000 0.5000 0.5000
Ba 0.0000 0.0000 0.0000
Mn 0.5000 0.0000 0.0000
Mn 0.0000 0.0000 0.5000
Ni 0.0000 0.5000 0.0000
CELL_PARAMETERS angstrom
-4.1859 -2.5614 -2.2451
3.0732 -3.1842 -2.0971
-0.3630 -3.2015 4.3292
! ΔE_f = 1.742 eV/atom
! Fermi-level density of states = 4.7 states/eV/f.u.
! uncorrected energy = -21.3 eV for the cell shown
! space group = P4/mmm


Repeat the first record exactly.
! PBE-GGA LiLa2As, relaxed; values from VASP
&SYSTEM
  ibrav = 0, nat = 4, ntyp = 3
/
ATOMIC_SPECIES
La 138.91 La.upf
Li 6.94 Li.upf
As 74.92 As.upf
ATOMIC_POSITIONS crystal
La 0.2659 0.2659 0.2024
La 0.0673 0.0673 0.7982
Li 0.5005 0.5005 0.4986
As 0.6664 0.6664 0.0009
CELL_PARAMETERS angstrom
-0.2777 -2.0520 3.6272
-1.0706 -4.0369 0.0389
7.9145 -4.2536 0.6043
! ΔE_f = -0.620 eV/atom
! Fermi-level density of states = 2.1 states/eV/f.u.
! uncorrected energy = -18.9 eV for the cell shown
! space group = R3m